VZnS | the Alexandria database | PBE-GGA | relaxed; density = 4.30 Mg/m³; E above lowest polymorph = 390 meV per atom; V = 57 Å³/f.u.; symmetry = C2/m (12); final energy = -4.917 eV/atom
1.0
4.214 0.550 0.446
2.581 3.376 0.446
2.637 1.523 9.291
S Zn V
2 2 2
Cartesian
3.495 2.019 4.617
5.071 2.929 8.201
5.600 3.235 3.936
2.966 1.713 8.882
3.797 2.194 2.408
2.131 1.231 1.119

VZnS | the Alexandria database | PBE-GGA | relaxed; density = 5.26 Mg/m³; E above lowest polymorph = 53 meV per atom; V = 47 Å³/f.u.; symmetry = P2_1/m (11); final energy = -5.255 eV/atom
1.0
-1.706 2.809 -3.323
-0.306 -2.525 -1.978
-5.329 -1.692 2.984
S V Zn
2 2 2
Cartesian
-2.338 1.197 -2.479
-5.003 -2.605 0.163
-6.485 -1.250 -1.338
-0.856 -0.158 -0.979
-4.330 0.430 -1.193
-3.011 -1.838 -1.124

VZnS | the Alexandria database | PBE-GGA | relaxed; density = 5.28 Mg/m³; E above lowest polymorph = 0 meV per atom; V = 47 Å³/f.u.; symmetry = C2/m (12); final energy = -5.308 eV/atom
1.0
6.017 0.000 0.003
0.000 3.253 0.000
-3.084 0.000 9.544
Zn S V
4 4 4
Cartesian
1.548 0.000 8.782
1.384 0.000 0.765
3.090 1.626 4.010
-0.158 1.626 5.537
-0.774 0.000 7.981
0.768 1.626 3.209
3.707 0.000 1.566
2.165 1.626 6.338
5.353 1.626 1.353
-0.879 0.000 3.422
-2.421 1.626 8.194
3.811 0.000 6.125

VZnS2 | the Alexandria database | PBE-GGA | relaxed; density = 4.31 Mg/m³; V = 70 Å³/f.u.; symmetry = R-3m (166); final energy = -5.231 eV/atom
1.0
1.839 0.000 7.921
-0.920 1.593 7.921
-0.920 -1.593 7.921
S V Zn
2 1 1
Cartesian
0.000 0.000 21.261
0.000 0.000 2.501
0.000 0.000 11.881
0.000 0.000 0.000

VZnS | the Alexandria database | PBE-GGA | relaxed; density = 5.21 Mg/m³; E above lowest polymorph = 41 meV per atom; V = 47 Å³/f.u.; symmetry = R3m (160); final energy = -5.267 eV/atom
1.0
-0.906 0.870 -2.769
2.246 -2.029 0.297
-11.850 -13.155 -0.256
Zn V S
3 3 3
Cartesian
-3.619 -4.017 -0.078
-10.324 -13.850 -0.974
-7.424 -8.498 -1.910
-3.788 -6.594 -0.833
-8.933 -9.917 -0.193
-0.889 -1.243 -1.769
-5.813 -6.709 -1.876
-8.712 -12.061 -0.939
-2.007 -2.228 -0.043

VZnS2 | the Alexandria database | PBE-GGA | relaxed; density = 3.68 Mg/m³; V = 82 Å³/f.u.; symmetry = R-3m (166); final energy = -4.702 eV/atom
1.0
3.047 2.840 6.296
5.844 2.545 4.045
3.647 5.391 3.824
Zn S V
1 2 1
Cartesian
6.270 5.388 7.082
1.292 1.110 1.459
11.247 9.665 12.705
0.000 0.000 0.000